# Rb2Cu2SnTe6

Crystalline Rb2Cu2SnTe6 at its relaxed geometry (PBE-GGA, Alexandria).

* energy: -3.245 eV per atom
* raw formation energy: -0.247 eV/atom
* DOS at the Fermi energy: 0.508 states/eV per atom
* total moment: 0.00 μB/cell

```
11
Lattice="8.3487 0.0000 0.0000 -4.1744 6.5998 0.4828 0.0000 -3.1793 6.8720" Properties=species:S:1:pos:R:3 pbc="T T T"
Rb 4.1744 2.5176 1.8050
Rb 0.0000 0.9029 5.5497
Cu 4.1744 3.3646 5.9514
Cu 0.0000 0.0559 1.4033
Sn 4.1744 -1.5897 3.4360
Te 4.1744 0.9198 5.0988
Te -1.9267 5.5523 1.5191
Te 2.2477 -2.1318 5.8356
Te 6.1011 -2.1318 5.8356
Te 1.9267 5.5523 1.5191
Te 0.0000 2.5007 2.2560
```